A:
## Zn4Hg5 (PBE)

Data for a relaxed Zn4Hg5 crystal.

Cell: 8.356 8.356 6.426 Å, 90.00 90.00 60.00°
Positions (direct):
Zn: 0.000 0.000 0.000
Zn: 0.000 0.000 0.500
Zn: 0.618 0.382 0.250
Zn: 0.000 0.618 0.250
Zn: 0.382 0.000 0.250
Zn: 0.382 0.618 0.750
Zn: 0.000 0.382 0.750
Zn: 0.618 0.000 0.750
Hg: 0.281 0.719 0.250
Hg: 0.000 0.281 0.250
Hg: 0.719 0.000 0.250
Hg: 0.719 0.281 0.750
Hg: 0.000 0.719 0.750
Hg: 0.281 0.000 0.750
Hg: 0.333 0.333 0.000
Hg: 0.667 0.667 0.500
Hg: 0.667 0.667 0.000
Hg: 0.333 0.333 0.500

=====

B:
## Zn4Hg5 (PBE)

Data for a relaxed Zn4Hg5 crystal.

Cell: 6.964 6.964 6.964 Å, 95.48 95.48 143.99°
Positions (direct):
Zn: 0.000 0.644 0.644
Zn: 0.000 0.356 0.356
Zn: 0.356 0.000 0.356
Zn: 0.644 0.000 0.644
Hg: 0.000 0.000 0.000
Hg: 0.329 0.671 0.000
Hg: 0.671 0.329 0.000
Hg: 0.329 0.329 0.658
Hg: 0.671 0.671 0.342

=====

Relative stability in meV/atom, measured from the most stable structure: A 6; B 0